[1]
Th3Al3CoHg2 | PBE | optimized geometry

Summary:
Fermi-level density of states ... 0.604 states/eV per atom
Space group ... No. 189
Size of the total moment ... 0.000 Bohr magnetons per cell
E_form ... -0.388 eV per atom

CIF file:
```
data_Th3Al3CoHg2
_chemical_formula_sum 'Th3 Al3 Co1 Hg2'
_cell_length_a 4.493
_cell_length_b 7.266
_cell_length_c 7.266
_cell_angle_alpha 120.00
_cell_angle_beta 90.00
_cell_angle_gamma 90.00
_space_group_name_H-M_alt 'P 1'
_space_group_IT_number 1
_space_group_name_Hall 'P 1'
loop_
_atom_site_label
_atom_site_type_symbol
_atom_site_fract_x
_atom_site_fract_y
_atom_site_fract_z
Th1 Th 0.000 0.000 0.384
Th2 Th 0.000 0.616 0.616
Th3 Th 0.000 0.384 0.000
Al1 Al 0.500 0.780 0.000
Al2 Al 0.500 0.220 0.220
Al3 Al 0.500 0.000 0.780
Co1 Co 0.000 0.000 0.000
Hg1 Hg 0.500 0.333 0.667
Hg2 Hg 0.500 0.667 0.333
```


[2]
ErTm6Pd2 | PBE | optimized geometry

Summary:
Fermi-level density of states ... 1.074 states/eV per atom
Space group ... No. 12
Size of the total moment ... 0.001 Bohr magnetons per cell
E_form ... -0.393 eV per atom

CIF file:
```
data_ErTm6Pd2
_chemical_formula_sum 'Er1 Tm6 Pd2'
_cell_length_a 3.633
_cell_length_b 8.121
_cell_length_c 8.547
_cell_angle_alpha 79.24
_cell_angle_beta 77.73
_cell_angle_gamma 77.08
_space_group_name_H-M_alt 'P 1'
_space_group_IT_number 1
_space_group_name_Hall 'P 1'
loop_
_atom_site_label
_atom_site_type_symbol
_atom_site_fract_x
_atom_site_fract_y
_atom_site_fract_z
Er1 Er 0.000 0.500 0.500
Tm1 Tm 0.033 0.123 0.810
Tm2 Tm 0.288 0.314 0.109
Tm3 Tm 0.712 0.686 0.891
Tm4 Tm 0.307 0.833 0.554
Tm5 Tm 0.693 0.167 0.446
Tm6 Tm 0.967 0.877 0.190
Pd1 Pd 0.405 0.424 0.766
Pd2 Pd 0.595 0.576 0.234
```


[3]
Li2InGe2Pd5 | PBE | optimized geometry

Summary:
Fermi-level density of states ... 0.409 states/eV per atom
Space group ... No. 127
Size of the total moment ... 0.000 Bohr magnetons per cell
E_form ... -0.500 eV per atom

CIF file:
```
data_Li2InGe2Pd5
_chemical_formula_sum 'Li4 In2 Ge4 Pd10'
_cell_length_a 3.827
_cell_length_b 9.332
_cell_length_c 9.332
_cell_angle_alpha 90.00
_cell_angle_beta 90.00
_cell_angle_gamma 90.00
_space_group_name_H-M_alt 'P 1'
_space_group_IT_number 1
_space_group_name_Hall 'P 1'
loop_
_atom_site_label
_atom_site_type_symbol
_atom_site_fract_x
_atom_site_fract_y
_atom_site_fract_z
Li1 Li 0.000 0.669 0.169
Li2 Li 0.000 0.331 0.831
Li3 Li 0.000 0.169 0.331
Li4 Li 0.000 0.831 0.669
In1 In 0.000 0.000 0.000
In2 In 0.000 0.500 0.500
Ge1 Ge 0.000 0.130 0.630
Ge2 Ge 0.000 0.870 0.370
Ge3 Ge 0.000 0.630 0.870
Ge4 Ge 0.000 0.370 0.130
Pd1 Pd 0.500 0.204 0.076
Pd2 Pd 0.500 0.796 0.924
Pd3 Pd 0.500 0.076 0.796
Pd4 Pd 0.500 0.704 0.424
Pd5 Pd 0.500 0.924 0.204
Pd6 Pd 0.500 0.296 0.576
Pd7 Pd 0.500 0.576 0.704
Pd8 Pd 0.500 0.424 0.296
Pd9 Pd 0.500 0.500 0.000
Pd10 Pd 0.500 0.000 0.500
```


[4]
CaMnCl2 | PBE | optimized geometry

Summary:
Fermi-level density of states ... 0.341 states/eV per atom
Space group ... No. 71
Size of the total moment ... 5.005 Bohr magnetons per cell
E above lowest polymorph ... 0.1703 eV per atom
Uncorrected formation energy ... -0.825 eV/atom

CIF file:
```
data_CaMnCl2
_chemical_formula_sum 'Ca1 Mn1 Cl2'
_cell_length_a 6.130
_cell_length_b 6.130
_cell_length_c 6.130
_cell_angle_alpha 143.31
_cell_angle_beta 121.26
_cell_angle_gamma 71.29
_space_group_name_H-M_alt 'P 1'
_space_group_IT_number 1
_space_group_name_Hall 'P 1'
loop_
_atom_site_label
_atom_site_type_symbol
_atom_site_fract_x
_atom_site_fract_y
_atom_site_fract_z
Ca1 Ca 0.750 0.250 0.500
Mn1 Mn 0.250 0.750 0.500
Cl1 Cl 0.935 0.935 0.000
Cl2 Cl 0.565 0.565 0.000
```


[5]
ReSbBr2 | PBE | optimized geometry

Summary:
Fermi-level density of states ... 0.689 states/eV per atom
Space group ... No. 47
Size of the total moment ... 2.644 Bohr magnetons per cell
E above lowest polymorph ... 0.7693 eV per atom
Uncorrected formation energy ... 1.008 eV/atom

CIF file:
```
data_ReSbBr2
_chemical_formula_sum 'Re1 Sb1 Br2'
_cell_length_a 3.213
_cell_length_b 5.780
_cell_length_c 4.864
_cell_angle_alpha 90.00
_cell_angle_beta 90.00
_cell_angle_gamma 90.00
_space_group_name_H-M_alt 'P 1'
_space_group_IT_number 1
_space_group_name_Hall 'P 1'
loop_
_atom_site_label
_atom_site_type_symbol
_atom_site_fract_x
_atom_site_fract_y
_atom_site_fract_z
Re1 Re 0.500 0.000 0.500
Br1 Br 0.000 0.000 0.000
Br2 Br 0.500 0.500 0.000
Sb1 Sb 0.000 0.500 0.500
```


[6]
TcW2Br | PBE | optimized geometry

Summary:
Fermi-level density of states ... 1.090 states/eV per atom
Space group ... No. 6
Size of the total moment ... 0.000 Bohr magnetons per cell
E above lowest polymorph ... 0.0000 eV per atom
Uncorrected formation energy ... 0.519 eV/atom

CIF file:
```
data_TcW2Br
_chemical_formula_sum 'Tc1 W2 Br1'
_cell_length_a 3.123
_cell_length_b 3.137
_cell_length_c 7.573
_cell_angle_alpha 87.43
_cell_angle_beta 90.00
_cell_angle_gamma 90.00
_space_group_name_H-M_alt 'P 1'
_space_group_IT_number 1
_space_group_name_Hall 'P 1'
loop_
_atom_site_label
_atom_site_type_symbol
_atom_site_fract_x
_atom_site_fract_y
_atom_site_fract_z
Br1 Br 0.000 0.425 0.491
Tc1 Tc 0.500 0.546 0.809
W1 W 0.000 0.024 0.992
W2 W 0.500 0.505 0.208
```


[7]
InNi2HRu | PBE | optimized geometry

Summary:
Fermi-level density of states ... 1.157 states/eV per atom
Space group ... No. 123
Size of the total moment ... 0.154 Bohr magnetons per cell
Final energy ... -5.39 eV/atom

CIF file:
```
data_InNi2HRu
_chemical_formula_sum 'In1 Ni2 H1 Ru1'
_cell_length_a 3.866
_cell_length_b 3.866
_cell_length_c 3.871
_cell_angle_alpha 90.00
_cell_angle_beta 90.00
_cell_angle_gamma 90.00
_space_group_name_H-M_alt 'P 1'
_space_group_IT_number 1
_space_group_name_Hall 'P 1'
loop_
_atom_site_label
_atom_site_type_symbol
_atom_site_fract_x
_atom_site_fract_y
_atom_site_fract_z
Ru1 Ru 0.000 0.000 0.500
Ni1 Ni 0.000 0.500 0.000
Ni2 Ni 0.500 0.000 0.000
H1 H 0.000 0.000 0.000
In1 In 0.500 0.500 0.500
```


[8]
Ca2HgHAu | PBE | optimized geometry

Summary:
Fermi-level density of states ... 0.535 states/eV per atom
Space group ... No. 123
Size of the total moment ... 0.000 Bohr magnetons per cell
Final energy ... -2.72 eV/atom

CIF file:
```
data_Ca2HgHAu
_chemical_formula_sum 'Ca2 Hg1 H1 Au1'
_cell_length_a 5.239
_cell_length_b 5.239
_cell_length_c 3.802
_cell_angle_alpha 90.00
_cell_angle_beta 90.00
_cell_angle_gamma 90.00
_space_group_name_H-M_alt 'P 1'
_space_group_IT_number 1
_space_group_name_Hall 'P 1'
loop_
_atom_site_label
_atom_site_type_symbol
_atom_site_fract_x
_atom_site_fract_y
_atom_site_fract_z
H1 H 0.000 0.000 0.000
Ca1 Ca 0.000 0.500 0.000
Ca2 Ca 0.500 0.000 0.000
Au1 Au 0.000 0.000 0.500
Hg1 Hg 0.500 0.500 0.500
```